No. 1
This record from Alexandria via LeMat-Bulk describes a relaxed structure of Cr4HgTe. The functional is PBE.

## Properties
- crystal system = cubic
- ΔE_f (raw) (eV/atom) = 0.666
- energy (eV/atom) = -6.32
- calculated density (Mg/m³) = 9.80

Unit cell a=5.0467 b=5.0467 c=5.0467 alpha=60.00 beta=60.00 gamma=60.00
Last column: nearest neighbours and their distance in Å.
Positions (direct):
Cr 0.8598 0.3801 0.3801  6 Cr 2.42-2.63
Cr 0.3801 0.3801 0.8598  6 Cr 2.42-2.63
Cr 0.3801 0.8598 0.3801  6 Cr 2.42-2.63
Cr 0.3801 0.3801 0.3801  6 Cr 2.42-2.63
Hg 0.7500 0.7500 0.7500  12 Cr 2.95, 4 Te 3.09
Te 0.0000 0.0000 0.0000  12 Cr 2.97, 4 Hg 3.09


No. 2
This record from Alexandria via LeMat-Bulk describes a relaxed structure of SrZr2Tl2. The functional is PBE.

## Properties
- crystal system = tetragonal
- ΔH_f (0 K) (eV/atom) = 0.019
- energy above the lowest structure with this stoichiometry (eV/atom) = 0.000
- energy (eV/atom) = -4.68
- calculated density (Mg/m³) = 8.46

Unit cell a=9.0034 b=9.0034 c=3.2879 alpha=90.00 beta=90.00 gamma=90.00
Last column: nearest neighbours and their distance in Å.
Positions (direct):
Sr 0.0000 0.0000 0.0000  2 Sr 3.29, 4 Zr 3.60
Sr 0.5000 0.5000 0.0000  2 Sr 3.29, 4 Zr 3.60
Tl 0.1780 0.6780 0.5000  6 Zr 3.08-3.17, 2 Tl 3.29
Tl 0.6780 0.8220 0.5000  6 Zr 3.08-3.17, 2 Tl 3.29
Tl 0.8220 0.3220 0.5000  6 Zr 3.08-3.17, 2 Tl 3.29
Tl 0.3220 0.1780 0.5000  6 Zr 3.08-3.17, 2 Tl 3.29
Zr 0.3826 0.8826 0.0000  3 Zr 2.99-3.29, 6 Tl 3.08-3.17
Zr 0.8826 0.6174 0.0000  3 Zr 2.99-3.29, 6 Tl 3.08-3.17
Zr 0.6174 0.1174 0.0000  3 Zr 2.99-3.29, 6 Tl 3.08-3.17
Zr 0.1174 0.3826 0.0000  3 Zr 2.99-3.29, 6 Tl 3.08-3.17


No. 3
This record from Alexandria via LeMat-Bulk describes a relaxed structure of Hg4TeMo. The functional is PBE.

## Properties
- crystal system = cubic
- ΔE_f (raw) (eV/atom) = 0.755
- energy (eV/atom) = -1.78
- calculated density (Mg/m³) = 11.24

Unit cell a=5.9839 b=5.9839 c=5.9839 alpha=60.00 beta=60.00 gamma=60.00
Last column: nearest neighbours and their distance in Å.
Positions (direct):
Hg 0.8747 0.3751 0.3751  6 Hg 2.99
Hg 0.3751 0.3751 0.8747  6 Hg 2.99
Hg 0.3751 0.8747 0.3751  6 Hg 2.99
Hg 0.3751 0.3751 0.3751  6 Hg 2.99
Te 0.0000 0.0000 0.0000  12 Hg 3.51, 4 Mo 3.66
Mo 0.7500 0.7500 0.7500  12 Hg 3.51, 4 Te 3.66


No. 4
This record from Alexandria via LeMat-Bulk describes a relaxed structure of NaPm2Ag. The functional is PBE.

## Properties
- crystal system = trigonal
- ΔH_f (0 K) (eV/atom) = 0.142
- energy above the lowest structure with this stoichiometry (eV/atom) = 0.120
- energy (eV/atom) = -3.28
- calculated density (Mg/m³) = 5.52

Unit cell a=3.4919 b=3.4919 c=12.1587 alpha=81.74 beta=81.74 gamma=60.00
Last column: nearest neighbours and their distance in Å.
Positions (direct):
Na 0.0000 0.0000 0.0000  6 Na 3.49, 2 Pm 3.54
Ag 0.5000 0.5000 0.5000  6 Pm 3.17, 6 Ag 3.49
Pm 0.0985 0.0985 0.7045  3 Ag 3.17, 6 Pm 3.49, 1 Na 3.54
Pm 0.9015 0.9015 0.2955  3 Ag 3.17, 6 Pm 3.49, 1 Na 3.54


No. 5
This record from Alexandria via LeMat-Bulk describes a relaxed structure of Rb2NbTcP. The functional is PBE.

## Properties
- crystal system = tetragonal
- ΔH_f (0 K) (eV/atom) = 1.778
- energy above the lowest structure with this stoichiometry (eV/atom) = 0.158
- energy (eV/atom) = -3.78
- calculated density (Mg/m³) = 3.26

Unit cell a=6.7135 b=6.7135 c=4.4420 alpha=90.00 beta=90.00 gamma=90.00
Last column: nearest neighbours and their distance in Å.
Positions (direct):
P 0.0000 0.0000 0.5000  2 Tc 2.22
Nb 0.5000 0.5000 0.5000  8 Rb 4.02, 2 Nb 4.44
Tc 0.0000 0.0000 0.0000  2 P 2.22
Rb 0.0000 0.5000 0.0000  2 Tc 3.36
Rb 0.5000 0.0000 0.0000  2 Tc 3.36


No. 6
This record from Alexandria via LeMat-Bulk describes a relaxed structure of LiMg12Cd7. The functional is PBE.

## Properties
- crystal system = trigonal
- ΔH_f (0 K) (eV/atom) = -0.078
- energy above the lowest structure with this stoichiometry (eV/atom) = 0.000
- energy (eV/atom) = -1.45
- calculated density (Mg/m³) = 4.11

Unit cell a=7.8437 b=7.8437 c=7.8437 alpha=102.95 beta=102.95 gamma=102.95
Last column: nearest neighbours and their distance in Å.
Positions (direct):
Li 0.0000 0.0000 0.0000  6 Cd 2.93, 6 Mg 3.05
Mg 0.7594 0.2525 0.5255  4 Cd 3.00-3.12, 6 Mg 3.08-3.26
Mg 0.7475 0.4745 0.2406  4 Cd 3.00-3.12, 6 Mg 3.08-3.26
Mg 0.3510 0.0756 0.3040  1 Li 3.05, 6 Mg 3.08-3.26, 5 Cd 3.09-3.33
Mg 0.9244 0.6960 0.6490  1 Li 3.05, 6 Mg 3.08-3.26, 5 Cd 3.09-3.33
Mg 0.4745 0.2406 0.7475  4 Cd 3.00-3.12, 6 Mg 3.08-3.26
Mg 0.6960 0.6490 0.9244  1 Li 3.05, 6 Mg 3.08-3.26, 5 Cd 3.09-3.33
Mg 0.3040 0.3510 0.0756  1 Li 3.05, 6 Mg 3.08-3.26, 5 Cd 3.09-3.33
Mg 0.5255 0.7594 0.2525  4 Cd 3.00-3.12, 6 Mg 3.08-3.26
Mg 0.0756 0.3040 0.3510  1 Li 3.05, 6 Mg 3.08-3.26, 5 Cd 3.09-3.33
Mg 0.6490 0.9244 0.6960  1 Li 3.05, 6 Mg 3.08-3.26, 5 Cd 3.09-3.33
Mg 0.2525 0.5255 0.7594  4 Cd 3.00-3.12, 6 Mg 3.08-3.26
Mg 0.2406 0.7475 0.4745  4 Cd 3.00-3.12, 6 Mg 3.08-3.26
Cd 0.1176 0.6858 0.0693  3 Cd 2.89-3.03, 1 Li 2.93, 5 Mg 3.00-3.17
Cd 0.3142 0.9307 0.8824  3 Cd 2.89-3.03, 1 Li 2.93, 5 Mg 3.00-3.17
Cd 0.9307 0.8824 0.3142  3 Cd 2.89-3.03, 1 Li 2.93, 5 Mg 3.00-3.17
Cd 0.5000 0.5000 0.5000  12 Mg 3.12-3.16
Cd 0.0693 0.1176 0.6858  3 Cd 2.89-3.03, 1 Li 2.93, 5 Mg 3.00-3.17
Cd 0.6858 0.0693 0.1176  3 Cd 2.89-3.03, 1 Li 2.93, 5 Mg 3.00-3.17
Cd 0.8824 0.3142 0.9307  3 Cd 2.89-3.03, 1 Li 2.93, 5 Mg 3.00-3.17


No. 7
This record from Alexandria via LeMat-Bulk describes a relaxed structure of Ac2CeErBi4. The functional is PBE.

## Properties
- crystal system = monoclinic
- ΔH_f (0 K) (eV/atom) = -0.887
- energy (eV/atom) = -5.17
- calculated density (Mg/m³) = 9.00

Unit cell a=4.7093 b=8.1404 c=8.1519 alpha=109.47 beta=90.00 gamma=90.00
Last column: nearest neighbours and their distance in Å.
Positions (direct):
Ac 0.5000 0.0000 0.5000  6 Bi 3.44
Ac 0.0000 0.5000 0.5000  6 Bi 3.41
Ce 0.0000 0.0000 0.0000  6 Bi 3.25
Er 0.5000 0.5000 0.0000  6 Bi 3.21-3.22
Bi 0.5000 0.2470 0.2299  1 Er 3.21, 2 Ce 3.25, 3 Ac 3.41-3.44
Bi 0.5000 0.7530 0.7701  1 Er 3.21, 2 Ce 3.25, 3 Ac 3.41-3.44
Bi 0.0000 0.2610 0.7726  2 Er 3.22, 1 Ce 3.25, 3 Ac 3.41-3.44
Bi 0.0000 0.7390 0.2274  2 Er 3.22, 1 Ce 3.25, 3 Ac 3.41-3.44


No. 8
This record from Alexandria via LeMat-Bulk describes a relaxed structure of SrZnGaN2. The functional is PBE.

## Properties
- crystal system = tetragonal
- ΔE_f (raw) (eV/atom) = 1.283
- energy (eV/atom) = -3.24
- calculated density (Mg/m³) = 4.55

Unit cell a=4.1661 b=5.2689 c=4.1661 alpha=90.00 beta=90.00 gamma=90.00
Last column: nearest neighbours and their distance in Å.
Positions (direct):
Sr 0.0000 0.5000 0.0000  2 Zn 2.63, 4 Ga 2.95
Zn 0.0000 0.0000 0.0000  4 N 2.08
Ga 0.5000 0.5000 0.5000  4 Sr 2.95
N 0.0000 0.0000 0.5000  2 Zn 2.08
N 0.5000 0.0000 0.0000  2 Zn 2.08